No. 1
Tb4Sm19Tm6: optimized geometry, PBE.

Lattice parameters (Å, degrees): 10.891 10.891 10.891 109.47 109.47 109.47
Fractional coordinates of all 29 atoms:
Tb 0.000 0.000 0.640
Tb 0.000 0.640 0.000
Tb 0.360 0.360 0.360
Tb 0.640 0.000 0.000
Sm 0.738 0.000 0.738
Sm 0.262 0.000 0.262
Sm 0.262 0.262 0.000
Sm 0.738 0.738 0.000
Sm 0.000 0.738 0.738
Sm 0.000 0.262 0.262
Sm 0.000 0.000 0.000
Sm 0.202 0.218 0.544
Sm 0.798 0.341 0.015
Sm 0.674 0.659 0.456
Sm 0.015 0.798 0.341
Sm 0.326 0.782 0.985
Sm 0.544 0.202 0.218
Sm 0.985 0.326 0.782
Sm 0.456 0.674 0.659
Sm 0.782 0.985 0.326
Sm 0.341 0.015 0.798
Sm 0.218 0.544 0.202
Sm 0.659 0.456 0.674
Tm 0.375 0.500 0.875
Tm 0.625 0.500 0.125
Tm 0.125 0.625 0.500
Tm 0.875 0.375 0.500
Tm 0.500 0.875 0.375
Tm 0.500 0.125 0.625

Output
As for the space group: I23. Its total magnetization is 0.0 μB/cell. The value obtained for the energy of formation from the pure elements is 0.38 eV per atom.


No. 2
Tb6Sm3Tm: optimized geometry, PBE.

Lattice parameters (Å, degrees): 6.828 10.277 5.957 89.70 124.97 90.00
Fractional coordinates of all 10 atoms:
Tb 0.374 0.249 0.241
Tb 0.133 0.751 0.759
Tb 0.626 0.751 0.759
Tb 0.867 0.249 0.241
Tb 0.354 0.064 0.708
Tb 0.646 0.936 0.292
Sm 0.853 0.437 0.706
Sm 0.147 0.563 0.294
Sm 0.000 0.000 0.000
Tm 0.500 0.500 0.000

Output
As for the space group: C2/m. Its total magnetization is 0.0 μB/cell. The value obtained for the energy of formation from the pure elements is 0.25 eV per atom.


No. 3
Tb4SmTm6: optimized geometry, PBE.

Lattice parameters (Å, degrees): 7.665 7.665 8.392 117.18 117.18 90.00
Fractional coordinates of all 11 atoms:
Tb 0.094 0.756 0.850
Tb 0.906 0.906 0.150
Tb 0.756 0.094 0.850
Tb 0.244 0.244 0.150
Sm 0.500 0.500 0.000
Tm 0.936 0.432 0.368
Tm 0.432 0.936 0.368
Tm 0.568 0.568 0.632
Tm 0.000 0.500 0.000
Tm 0.064 0.064 0.632
Tm 0.500 0.000 0.000

Output
As for the space group: I-42m. Its total magnetization is 0.0 μB/cell. The value obtained for the energy of formation from the pure elements is 0.47 eV per atom.


No. 4
Tb4Sm3Tm2: optimized geometry, PBE.

Lattice parameters (Å, degrees): 6.090 11.265 11.265 61.86 62.77 62.77
Fractional coordinates of all 18 atoms:
Tb 0.420 0.908 0.186
Tb 0.080 0.814 0.092
Tb 0.580 0.092 0.814
Tb 0.920 0.186 0.908
Tb 0.076 0.149 0.427
Tb 0.424 0.573 0.851
Tb 0.924 0.851 0.573
Tb 0.576 0.427 0.149
Sm 0.743 0.068 0.267
Sm 0.757 0.733 0.932
Sm 0.257 0.932 0.733
Sm 0.243 0.267 0.068
Sm 0.250 0.599 0.401
Sm 0.750 0.401 0.599
Tm 0.420 0.244 0.520
Tm 0.080 0.480 0.756
Tm 0.580 0.756 0.480
Tm 0.920 0.520 0.244

Output
As for the space group: C2/c. Its total magnetization is 0.0 μB/cell. The value obtained for the energy of formation from the pure elements is 0.10 eV per atom.


No. 5
Tb4Sm3Tm4: optimized geometry, PBE.

Lattice parameters (Å, degrees): 5.657 6.624 10.552 90.00 90.00 115.28
Fractional coordinates of all 11 atoms:
Tb 0.752 0.504 0.787
Tb 0.752 0.504 0.213
Tb 0.887 0.775 0.500
Tb 0.958 0.917 0.000
Sm 0.409 0.818 0.290
Sm 0.409 0.818 0.710
Sm 0.254 0.508 0.000
Tm 0.615 0.229 0.500
Tm 0.555 0.111 0.000
Tm 0.103 0.206 0.702
Tm 0.103 0.206 0.298

Output
As for the space group: Amm2. Its total magnetization is 0.0 μB/cell. The value obtained for the energy of formation from the pure elements is 0.16 eV per atom.


No. 6
Tb2Sm2Tm: optimized geometry, PBE.

Lattice parameters (Å, degrees): 6.114 9.860 8.613 42.34 69.21 71.94
Fractional coordinates of all 10 atoms:
Tb 0.826 0.146 0.044
Tb 0.016 0.354 0.456
Tb 0.174 0.854 0.956
Tb 0.984 0.646 0.544
Sm 0.749 0.922 0.687
Sm 0.358 0.578 0.813
Sm 0.251 0.078 0.313
Sm 0.642 0.422 0.187
Tm 0.573 0.750 0.250
Tm 0.427 0.250 0.750

Output
As for the space group: C2/c. Its total magnetization is 0.0 μB/cell. The value obtained for the energy of formation from the pure elements is 0.07 eV per atom.


No. 7
Tb5Sm2Tm2: optimized geometry, PBE.

Lattice parameters (Å, degrees): 6.173 6.158 9.404 89.92 109.09 120.10
Fractional coordinates of all 9 atoms:
Tb 0.222 0.445 0.331
Tb 0.778 0.555 0.669
Tb 0.112 0.223 0.669
Tb 0.888 0.777 0.331
Tb 0.000 0.000 0.000
Sm 0.444 0.888 0.669
Sm 0.556 0.112 0.331
Tm 0.333 0.666 0.000
Tm 0.667 0.334 0.000

Output
As for the space group: P-1. Its total magnetization is 0.0 μB/cell. The value obtained for the energy of formation from the pure elements is 0.02 eV per atom.


No. 8
Tb3SmTm8: optimized geometry, PBE.

Lattice parameters (Å, degrees): 8.538 8.538 8.538 97.48 98.43 136.33
Fractional coordinates of all 12 atoms:
Tb 0.500 0.752 0.252
Tb 0.500 0.248 0.748
Tb 0.000 0.500 0.500
Sm 0.000 0.000 0.000
Tm 0.501 0.249 0.252
Tm 0.499 0.751 0.748
Tm 0.003 0.751 0.252
Tm 0.997 0.249 0.748
Tm 0.169 0.250 0.420
Tm 0.831 0.250 0.081
Tm 0.169 0.750 0.919
Tm 0.831 0.750 0.580

Output
As for the space group: Immm. Its total magnetization is 0.0 μB/cell. The value obtained for the energy of formation from the pure elements is 0.32 eV per atom.


| no. | mass density (Mg/m³) |
| --- | --- |
| 1 | 7.52 |
| 2 | 7.63 |
| 3 | 7.94 |
| 4 | 8.21 |
| 5 | 8.19 |
| 6 | 8.02 |
| 7 | 8.31 |
| 8 | 8.24 |